AgTeSeBr | GGA-PBE | optimized geometry

POSCAR file:
```
AgTeSeBr
1.0
4.240 -1.981 0.000
4.240 1.981 0.000
-2.893 0.000 7.816
Ag Te Se Br
1 1 1 1
Direct
0.000 0.000 0.000
0.409 0.409 0.480
0.096 0.096 0.343
0.261 0.261 0.888
```

space group	No. 8
formation energy (no corrections)	-0.055	eV/atom
Fermi-level density of states	0.201	states/eV/atom
M_tot	0.0	μB per formula unit
uncorrected energy	-11.4	eV/cell